# Zr2CdHg, PBEsol geometry, DFT meta-GGA SCAN
data_Zr2CdHg
_space_group_name_H-M_alt 'F m -3 m'
_space_group_IT_number 225
_space_group_name_Hall '-F 4 2 3'
_cell_length_a 6.9259
_cell_length_b 6.9259
_cell_length_c 6.9259
_cell_angle_alpha 90.00
_cell_angle_beta 90.00
_cell_angle_gamma 90.00
loop_
_atom_site_label
_atom_site_type_symbol
_atom_site_fract_x
_atom_site_fract_y
_atom_site_fract_z
Zr1 Zr 0.2500 0.2500 0.2500
Cd1 Cd 0.0000 0.0000 0.0000
Hg1 Hg 0.0000 0.0000 0.5000
# Total magnetic moment (Bohr magnetons per cell): 0.000
# Energy relative to the lowest polymorph listed for this composition (meV per atom): 28
# Energy relative to the elements (eV/atom): -0.26



# Bi2IrW, PBEsol geometry, DFT meta-GGA SCAN
data_Bi2IrW
_space_group_name_H-M_alt 'I -4 2 d'
_space_group_IT_number 122
_space_group_name_Hall 'I -4 2bw'
_cell_length_a 6.2348
_cell_length_b 6.2348
_cell_length_c 11.9759
_cell_angle_alpha 90.00
_cell_angle_beta 90.00
_cell_angle_gamma 90.00
loop_
_atom_site_label
_atom_site_type_symbol
_atom_site_fract_x
_atom_site_fract_y
_atom_site_fract_z
Bi1 Bi 0.2375 0.2500 0.1250
Ir1 Ir 0.0000 0.0000 0.0000
W1 W 0.0000 0.0000 0.5000
# Total magnetic moment (Bohr magnetons per cell): 7.411
# Energy relative to the elements (eV/atom): 1.44



# LaCdSn3, PBEsol geometry, DFT meta-GGA SCAN
data_LaCdSn3
_space_group_name_H-M_alt 'P m -3 m'
_space_group_IT_number 221
_space_group_name_Hall '-P 4 2 3'
_cell_length_a 5.9352
_cell_length_b 5.9352
_cell_length_c 5.9352
_cell_angle_alpha 90.00
_cell_angle_beta 90.00
_cell_angle_gamma 90.00
loop_
_atom_site_label
_atom_site_type_symbol
_atom_site_fract_x
_atom_site_fract_y
_atom_site_fract_z
La1 La 0.0000 0.0000 0.0000
Cd1 Cd 0.5000 0.5000 0.5000
Sn1 Sn 0.0000 0.0000 0.5000
# Total magnetic moment (Bohr magnetons per cell): 0.000
# Energy relative to the elements (eV/atom): 0.73



no.,density (g/cm3)
1,9.9
2,11.3
3,4.8